The following is a PBE+U calculation of crystalline Li3VFe3O8 at its relaxed geometry, from the Alexandria database.

The structure belongs to space group R-3m (No. 166, hexagonal axes); the cell edges are 5.9628, 5.9628 and 14.7897 Å and the angles 90.00°, 90.00° and 120.00°. The asymmetric unit holds Li at (0.0000, 0.5000, 0.0000), V at (0.0000, 0.0000, 0.5000), Fe at (0.0000, 0.5000, 0.5000), O at (0.0000, 0.0000, 0.2414) and O at (0.0146, 0.5073, 0.2393).

For the energy relative to the lowest polymorph listed for this composition, the calculation gives 0 meV per atom. The calculation puts the total energy at -287.38 eV per cell. Its magnetization is 16.00 μB per formula unit.